# VSe3F

A relaxed VSe3F crystal (PBE with a Hubbard U, the Alexandria database).

Values from the calculation:
total moment = 2.51 μB/f.u.
symmetry = Pm-3m
Fermi-level density of states = 1.02 states/eV/atom
energy above the lowest structure with this stoichiometry = 369 meV per atom

Lattice parameters (Å, degrees): 4.641 4.641 4.641 90.00 90.00 90.00
Fractional positions:
V 0.000 0.000 0.000
Se 0.000 0.500 0.500
Se 0.500 0.000 0.500
Se 0.500 0.500 0.000
F 0.500 0.500 0.500